No. 1
Density functional theory data (PBE) for a geometry-optimized Sm4Dy5Tl structure.

Unit cell a=5.8373 b=8.1118 c=8.1118 alpha=82.56 beta=68.91 gamma=68.91
Fractional positions:
1 Sm 0.4628 0.3140 0.6861
2 Sm 0.7767 0.6861 0.6860
3 Sm 0.1488 0.3139 0.3140
4 Sm 0.4628 0.6860 0.3139
5 Dy 0.7694 0.3701 0.0000
6 Dy 0.1394 0.0000 0.6299
7 Dy 0.7693 0.0000 0.3701
8 Dy 0.1394 0.6299 0.0000
9 Dy 0.6618 0.0000 0.0000
10 Tl 0.1799 0.0000 0.0000

Output
The calculation puts the volume at 33.4 Å³ per atom. The total moment is 0.00 μB per formula unit. For the density of states at the Fermi level, the calculation gives 14.5 states/eV/cell. Its formation energy is 0.1125 eV per atom. As for the crystal system: tetragonal.

---

No. 2
Density functional theory data (PBE) for a geometry-optimized Li2CoSi structure.

Unit cell a=4.0504 b=5.0273 c=2.6235 alpha=77.22 beta=84.35 gamma=112.16
Fractional positions:
1 Co 0.5000 0.5000 0.0000
2 Li 0.0000 0.0000 0.0000
3 Li 0.5000 0.0000 0.5000
4 Si 0.0000 0.5000 0.5000

Output
The calculation puts the volume at 11.8 Å³ per atom. The total moment is 0.00 μB per formula unit. For the density of states at the Fermi level, the calculation gives 2.6 states/eV/cell. As for the crystal system: monoclinic. The calculation puts the raw formation energy at -13 kJ/mol of atoms.

---

What is the formula in the first record?
Sm4Dy5Tl

---

Number 2 is which compound?
Li2CoSi